Here is PaGaCoRe after structural relaxation from the Alexandria database. Energies are from GGA-PBE.

Results
V   67.3 Å³/f.u.
Density   13.472 g/cm³
Formation energy   -57 meV per atom

```
4
Lattice="0.000 3.228 3.228 3.228 0.000 3.228 3.228 3.228 0.000" Properties=species:S:1:pos:R:3 pbc="T T T"
Pa 0.000 0.000 0.000
Ga 3.228 3.228 3.228
Co 4.842 4.842 4.842
Re 1.614 1.614 1.614
```

=====

Here is Nd3As5Se12 after structural relaxation from the Alexandria database. Energies are from GGA-PBE.

Results
V   560.0 Å³/f.u.
Density   5.204 g/cm³
VASP energy   -371.3 eV per cell

```
80
Lattice="-8.243 8.243 8.243 8.243 -8.243 8.243 8.243 8.243 -8.243" Properties=species:S:1:pos:R:3 pbc="T T T"
Nd 4.121 2.061 0.000
Nd 8.243 4.121 -2.061
Nd 2.061 0.000 4.121
Nd 10.303 0.000 4.121
Nd 0.000 4.121 2.061
Nd 4.121 -2.061 8.243
Nd 4.121 10.303 0.000
Nd 8.243 4.121 6.182
Nd -2.061 8.243 4.121
Nd 6.182 8.243 4.121
Nd 0.000 4.121 10.303
Nd 4.121 6.182 8.243
As 0.000 0.000 0.000
As 4.121 4.121 -4.121
As 4.121 -4.121 4.121
As 8.243 0.000 0.000
As 12.364 2.061 0.000
As 8.243 -4.121 6.182
As 6.182 8.243 -4.121
As 6.182 0.000 4.121
As 4.121 6.182 0.000
As 8.243 4.121 2.061
As -4.121 4.121 4.121
As 0.000 8.243 0.000
As 0.000 0.000 8.243
As 4.121 4.121 4.121
As 0.000 4.121 6.182
As 4.121 2.061 8.243
As 2.061 8.243 4.121
As 2.061 0.000 12.364
As 0.000 12.364 2.061
As -4.121 6.182 8.243
Se 2.477 -0.359 1.017
Se 9.887 5.139 -4.481
Se 10.719 0.359 1.017
Se 9.887 -3.104 4.481
Se 7.883 -1.017 2.477
Se 12.723 -1.645 3.104
Se 1.017 2.477 -0.359
Se 11.346 3.762 -1.645
Se 5.139 4.481 -1.645
Se 7.225 2.477 0.359
Se -0.359 1.017 2.477
Se 4.481 -1.645 5.139
Se 7.883 7.225 -2.477
Se 4.481 1.645 3.104
Se 5.139 -4.481 9.887
Se 7.225 -2.477 7.883
Se 3.104 4.481 1.645
Se 9.260 5.766 0.359
Se 4.481 9.887 -3.104
Se 7.883 1.017 5.766
Se 2.477 7.883 -1.017
Se 9.887 3.104 3.762
Se 1.645 3.104 4.481
Se 2.477 0.359 7.225
Se 5.766 7.883 1.017
Se 6.598 5.139 3.762
Se -1.645 5.139 4.481
Se 5.766 0.359 9.260
Se 0.359 7.225 2.477
Se 3.762 -1.645 11.346
Se -1.017 2.477 7.883
Se 5.139 3.762 6.598
Se 1.017 10.719 0.359
Se 3.104 12.723 -1.645
Se 3.762 6.598 5.139
Se 0.359 1.017 10.719
Se 3.762 9.887 3.104
Se 8.602 7.225 5.766
Se 1.017 5.766 7.883
Se 3.104 3.762 9.887
Se -3.104 4.481 9.887
Se 7.225 5.766 8.602
Se -4.481 9.887 5.139
Se 0.359 9.260 5.766
Se -1.645 11.346 3.762
Se -2.477 7.883 7.225
Se -1.645 3.104 12.723
Se 5.766 8.602 7.225
```

=====

Here is Ag5Br2F4 after structural relaxation from the Alexandria database. Energies are from GGA-PBE.

Results
V   227.1 Å³/f.u.
Density   5.668 g/cm³
VASP energy   -33.8 eV per cell

```
11
Lattice="6.293 0.000 0.000 2.398 6.042 0.000 2.434 2.273 5.973" Properties=species:S:1:pos:R:3 pbc="T T T"
Ag 0.000 0.000 0.000
Ag 4.434 5.564 2.771
Ag 5.067 4.807 5.707
Ag 6.059 3.508 0.266
Ag 6.691 2.752 3.202
Br 4.079 3.136 3.941
Br 7.046 5.179 2.032
F 1.492 1.440 1.564
F 3.750 4.339 0.510
F 7.375 3.976 5.463
F 9.633 6.876 4.409
```

=====

Here is CeDy2OsN4 after structural relaxation from the Alexandria database. Energies are from GGA-PBE.

Results
V   115.0 Å³/f.u.
Density   10.274 g/cm³
VASP energy   -135.4 eV per cell

```
16
Lattice="1.699 -5.840 0.000 1.699 5.840 0.000 0.000 0.000 11.591" Properties=species:S:1:pos:R:3 pbc="T T T"
Ce 1.699 4.497 8.693
Ce 1.699 -4.497 2.898
Dy 1.699 1.525 6.307
Dy 1.699 1.525 11.079
Dy 1.699 -1.525 0.512
Dy 1.699 -1.525 5.283
Os 1.699 4.164 2.898
Os 1.699 -4.164 8.693
N 0.000 0.000 0.000
N 0.000 0.000 5.795
N 1.699 2.668 1.520
N 1.699 2.668 4.275
N 1.699 0.550 8.693
N 1.699 -0.550 2.898
N 1.699 -2.668 7.316
N 1.699 -2.668 10.071
```

=====

Here is SrLaO2 after structural relaxation from the Alexandria database. Energies are from GGA-PBE.

Results
Energy above the lowest structure with this stoichiometry   50 meV/atom
V   91.4 Å³/f.u.
Density   4.697 g/cm³

```
8
Lattice="-2.839 2.839 5.670 2.839 -2.839 5.670 2.839 2.839 -5.670" Properties=species:S:1:pos:R:3 pbc="T T T"
Sr 0.000 0.000 0.000
Sr 0.000 2.839 2.835
La 2.839 0.000 2.835
La 0.000 0.000 5.670
O 1.419 -1.270 4.253
O 1.568 1.419 1.418
O 1.419 4.109 -1.418
O 1.270 1.419 7.088
```

=====

Here is Pr2BeSi4Ni3 after structural relaxation from the Alexandria database. Energies are from GGA-PBE.

Results
V   158.1 Å³/f.u.
Density   6.086 g/cm³
VASP energy   -59.5 eV per cell

```
10
Lattice="4.049 0.000 0.000 0.000 4.049 0.000 0.000 0.000 9.642" Properties=species:S:1:pos:R:3 pbc="T T T"
Pr 0.000 2.024 2.403
Pr 2.024 0.000 7.238
Be 2.024 2.024 0.000
Si 0.000 0.000 4.821
Si 0.000 2.024 8.408
Si 2.024 0.000 1.234
Si 2.024 2.024 4.821
Ni 0.000 0.000 0.000
Ni 0.000 2.024 5.987
Ni 2.024 0.000 3.655
```